Entry 1:
Ac12Si2Ge5 | PBE | relaxed

Structure (CIF):
```
data_Ac12Si2Ge5
_space_group_name_H-M_alt 'C 1 2/m 1'
_space_group_IT_number 12
_cell_length_a 17.697
_cell_length_b 8.317
_cell_length_c 10.310
_cell_angle_alpha 90.00
_cell_angle_beta 105.78
_cell_angle_gamma 90.00
loop_
_space_group_symop_operation_xyz
'x,y,z'
'-x,-y,-z'
'-x,y,-z'
'x,-y,z'
'x+1/2,y+1/2,z'
'-x+1/2,-y+1/2,-z'
'-x+1/2,y+1/2,-z'
'x+1/2,-y+1/2,z'
loop_
_atom_site_label
_atom_site_type_symbol
_atom_site_fract_x
_atom_site_fract_y
_atom_site_fract_z
_atom_site_occupancy
Ac1 Ac 0.003 0.000 0.225 1
Ac2 Ac 0.041 0.500 0.814 1
Ac3 Ac 0.142 0.242 0.559 1
Ac4 Ac 0.178 0.230 0.105 1
Si1 Si 0.000 0.247 0.000 1
Ge1 Ge 0.000 0.500 0.500 1
Ge2 Ge 0.183 0.000 0.829 1
Ge3 Ge 0.205 0.000 0.366 1
```

Properties
N(E_F), states/eV/cell: 39.27
Formation energy without anion corrections, eV/atom: -0.40



Entry 2:
Ac6Si2Ge | PBE | relaxed

Structure (CIF):
```
data_Ac6Si2Ge
_space_group_name_H-M_alt 'I m m m'
_space_group_IT_number 71
_space_group_name_Hall '-I 2 2'
_cell_length_a 10.510
_cell_length_b 10.697
_cell_length_c 10.924
_cell_angle_alpha 90.00
_cell_angle_beta 90.00
_cell_angle_gamma 90.00
loop_
_atom_site_label
_atom_site_type_symbol
_atom_site_fract_x
_atom_site_fract_y
_atom_site_fract_z
_atom_site_occupancy
Ac1 Ac 0.000 0.199 0.244 1
Ac2 Ac 0.209 0.500 0.176 1
Ac3 Ac 0.233 0.323 0.500 1
Si1 Si 0.000 0.380 0.000 1
Si2 Si 0.000 0.500 0.390 1
Ge1 Ge 0.000 0.000 0.000 1
Ge2 Ge 0.000 0.000 0.500 1
```

Properties
N(E_F), states/eV/cell: 30.57
ΔE to the lowest computed polymorph, eV per atom: 0.000
Formation energy without anion corrections, eV/atom: -0.41



Entry 3:
Ac5Si6Ge | PBE | relaxed

Structure (CIF):
```
data_Ac5Si6Ge
_space_group_name_H-M_alt 'C 1 2/m 1'
_space_group_IT_number 12
_cell_length_a 7.541
_cell_length_b 16.443
_cell_length_c 6.039
_cell_angle_alpha 90.00
_cell_angle_beta 112.96
_cell_angle_gamma 90.00
loop_
_space_group_symop_operation_xyz
'x,y,z'
'-x,-y,-z'
'-x,y,-z'
'x,-y,z'
'x+1/2,y+1/2,z'
'-x+1/2,-y+1/2,-z'
'-x+1/2,y+1/2,-z'
'x+1/2,-y+1/2,z'
loop_
_atom_site_label
_atom_site_type_symbol
_atom_site_fract_x
_atom_site_fract_y
_atom_site_fract_z
_atom_site_occupancy
Ac1 Ac 0.000 0.000 0.000 1
Ac2 Ac 0.000 0.186 0.500 1
Ac3 Ac 0.000 0.390 0.000 1
Si1 Si 0.172 0.206 0.101 1
Si2 Si 0.175 0.000 0.596 1
Ge1 Ge 0.000 0.500 0.500 1
```

Properties
N(E_F), states/eV/cell: 10.60
Formation energy without anion corrections, eV/atom: -0.49